[1]
This record from Alexandria via LeMat-Bulk describes a relaxed Na2PrYS4 crystal. The functional is PBE.

Properties
For the final energy, the calculation gives -44.87 eV for the cell shown. For the uncorrected formation energy, the calculation gives -1.810 eV/atom. The density is 3.5 Mg/m³.

Cell: 7.0642 4.0771 7.1014 Å, 90.00 109.37 90.00°
Closest atoms and distances in Å follow each position.
Sites, in units of the cell vectors:
Na: 0.0000 0.0000 0.0000  6 S 3.00-3.01
Na: 0.5000 0.5000 0.0000  6 S 2.93
Pr: 0.0000 0.5000 0.5000  6 S 2.85-2.86
Y: 0.5000 0.0000 0.5000  6 S 2.77-2.78
S: 0.2534 0.0000 0.7328  1 Y 2.77, 2 Pr 2.85, 3 Na 2.93-3.01
S: 0.2656 0.5000 0.2713  2 Y 2.78, 1 Pr 2.86, 3 Na 2.93-3.00
S: 0.7344 0.5000 0.7287  2 Y 2.78, 1 Pr 2.86, 3 Na 2.93-3.00
S: 0.7466 0.0000 0.2672  1 Y 2.77, 2 Pr 2.85, 3 Na 2.93-3.01

[2]
This record from Alexandria via LeMat-Bulk describes a relaxed NaPrY2S4 crystal. The functional is PBE.

Properties
For the final energy, the calculation gives -50.95 eV for the cell shown. For the uncorrected formation energy, the calculation gives -1.927 eV/atom. The density is 4.3 Mg/m³.

Cell: 6.9242 3.9653 6.9753 Å, 90.00 108.96 90.00°
Closest atoms and distances in Å follow each position.
Sites, in units of the cell vectors:
Na: 0.0000 0.0000 0.0000  6 S 2.85-2.88
Pr: 0.5000 0.5000 0.0000  6 S 2.89
Y: 0.0000 0.5000 0.5000  6 S 2.77
Y: 0.5000 0.0000 0.5000  6 S 2.78-2.80
S: 0.2415 0.0000 0.7372  3 Y 2.77-2.80, 1 Na 2.85, 2 Pr 2.89
S: 0.2536 0.5000 0.2641  3 Y 2.77-2.78, 2 Na 2.88, 1 Pr 2.89
S: 0.7464 0.5000 0.7359  3 Y 2.77-2.78, 2 Na 2.88, 1 Pr 2.89
S: 0.7585 0.0000 0.2628  3 Y 2.77-2.80, 1 Na 2.85, 2 Pr 2.89

[3]
This record from Alexandria via LeMat-Bulk describes a relaxed NaPr4Y3S8 crystal. The functional is PBE.

Properties
For the final energy, the calculation gives -104.16 eV for the cell shown. For the uncorrected formation energy, the calculation gives -1.957 eV/atom. The density is 5.0 Mg/m³.

Cell: 8.0827 8.0827 8.0827 Å, 59.41 59.41 59.41°
Closest atoms and distances in Å follow each position.
Sites, in units of the cell vectors:
Na: 0.0000 0.0000 0.0000  6 S 2.80
Pr: 0.0000 0.0000 0.5000  6 S 2.91
Pr: 0.0000 0.5000 0.0000  6 S 2.91
Pr: 0.5000 0.0000 0.0000  6 S 2.91
Pr: 0.5000 0.5000 0.5000  6 S 2.90
Y: 0.0000 0.5000 0.5000  6 S 2.78
Y: 0.5000 0.0000 0.5000  6 S 2.78
Y: 0.5000 0.5000 0.0000  6 S 2.78
S: 0.2458 0.2458 0.7425  2 Y 2.78, 1 Na 2.80, 3 Pr 2.90-2.91
S: 0.2458 0.7425 0.2458  2 Y 2.78, 1 Na 2.80, 3 Pr 2.90-2.91
S: 0.2558 0.2558 0.2558  3 Y 2.78, 3 Pr 2.91
S: 0.2575 0.7542 0.7542  2 Y 2.78, 1 Na 2.80, 3 Pr 2.90-2.91
S: 0.7425 0.2458 0.2458  2 Y 2.78, 1 Na 2.80, 3 Pr 2.90-2.91
S: 0.7442 0.7442 0.7442  3 Y 2.78, 3 Pr 2.91
S: 0.7542 0.2575 0.7542  2 Y 2.78, 1 Na 2.80, 3 Pr 2.90-2.91
S: 0.7542 0.7542 0.2575  2 Y 2.78, 1 Na 2.80, 3 Pr 2.90-2.91